{
  "formula": "Ag6BrCl2O",
  "functional": "GGA-PBE",
  "state": "optimized geometry",
  "lattice": [[5.340, -3.192, 0.000], [5.340, 3.192, 0.000], [-2.470, 0.000, 6.248]],
  "species": ["Ag", "Ag", "Ag", "Ag", "Ag", "Ag", "Br", "Cl", "Cl", "O"],
  "fractional_positions": [[0.123, 0.669, 0.613], [0.289, 0.289, 0.221], [0.331, 0.877, 0.387], [0.669, 0.123, 0.613], [0.711, 0.711, 0.779], [0.877, 0.331, 0.387], [0.000, 0.000, 0.000], [0.280, 0.280, 0.824], [0.720, 0.720, 0.176], [0.500, 0.500, 0.500]],
  "space_group": "No. 12",
  "e_tot_ev_per_atom": -2.859,
  "raw_formation_energy_ev_per_atom": -0.1154
}

=====

{
  "formula": "La2Y5Tm12",
  "functional": "GGA-PBE",
  "state": "optimized geometry",
  "lattice": [[7.904, 0.000, 0.000], [-3.154, 8.065, 0.000], [-0.781, -0.311, 9.335]],
  "species": ["La", "La", "Y", "Y", "Y", "Y", "Y", "Tm", "Tm", "Tm", "Tm", "Tm", "Tm", "Tm", "Tm", "Tm", "Tm", "Tm", "Tm"],
  "fractional_positions": [[0.080, 0.026, 0.184], [0.920, 0.974, 0.816], [0.241, 0.081, 0.553], [0.342, 0.448, 0.132], [0.500, 0.500, 0.500], [0.658, 0.552, 0.868], [0.759, 0.919, 0.447], [0.024, 0.345, 0.397], [0.133, 0.709, 0.973], [0.183, 0.397, 0.764], [0.289, 0.761, 0.343], [0.399, 0.133, 0.920], [0.444, 0.814, 0.711], [0.556, 0.186, 0.289], [0.601, 0.867, 0.080], [0.711, 0.239, 0.657], [0.817, 0.603, 0.236], [0.867, 0.291, 0.027], [0.976, 0.655, 0.603]],
  "space_group": "No. 2",
  "e_tot_ev_per_atom": -5.012,
  "formation_energy_ev_per_atom": 0.031
}

=====

{
  "formula": "NaNbAgRu2",
  "functional": "GGA-PBE",
  "state": "optimized geometry",
  "lattice": [[4.513, 0.000, 0.000], [0.000, 4.513, 0.000], [0.000, 0.000, 4.566]],
  "species": ["Na", "Nb", "Ag", "Ru", "Ru"],
  "fractional_positions": [[0.000, 0.000, 0.000], [0.000, 0.000, 0.500], [0.500, 0.500, 0.500], [0.000, 0.500, 0.000], [0.500, 0.000, 0.000]],
  "space_group": "No. 123",
  "e_tot_ev_per_atom": -4.384,
  "formation_energy_ev_per_atom": 2.175
}

=====

{
  "formula": "SrHfMn2Pd",
  "functional": "GGA-PBE",
  "state": "optimized geometry",
  "lattice": [[4.941, 0.000, 0.000], [0.000, 4.941, 0.000], [0.000, 0.000, 5.076]],
  "species": ["Sr", "Hf", "Mn", "Mn", "Pd"],
  "fractional_positions": [[0.000, 0.000, 0.000], [0.500, 0.500, 0.500], [0.000, 0.500, 0.500], [0.500, 0.000, 0.500], [0.500, 0.500, 0.000]],
  "space_group": "No. 123",
  "e_tot_ev_per_atom": -6.462,
  "formation_energy_ev_per_atom": 0.571
}